[1]
MgNiB2P2H12O16 | SCAN | PBEsol geometry

Calculated density in g/cm³: 2.5
Calculated volume in Å³/cell: 869.27
N(E_F) in states/eV/atom: 0.000
Calculated total energy in eV per atom: -7.592

Cell: 9.6968 9.6968 9.6968 Å, 99.52 99.52 99.52°
Last column: nearest neighbours and their distance in Å.
Fractional positions:
Mg  0.0000  0.4999  0.5001  6 O 2.01-2.17
Mg  0.5001  0.0000  0.4999  6 O 2.01-2.17
Mg  0.4999  0.5001  0.0000  6 O 2.01-2.17
Ni  0.9999  0.0001  0.5000  6 O 2.02-2.11
Ni  0.0001  0.5000  0.9999  6 O 2.02-2.11
Ni  0.5000  0.9999  0.0001  6 O 2.02-2.11
B  0.0000  0.1934  0.8066  4 O 1.45-1.50
B  0.1934  0.8066  0.0000  4 O 1.45-1.50
B  0.3071  0.6929  0.5000  4 O 1.45-1.50
B  0.5000  0.3071  0.6929  4 O 1.45-1.50
B  0.6929  0.5000  0.3071  4 O 1.45-1.50
B  0.8066  0.0000  0.1934  4 O 1.45-1.50
P  0.0000  0.8083  0.1917  4 O 1.53-1.57
P  0.1917  0.0000  0.8083  4 O 1.53-1.57
P  0.3092  0.5000  0.6908  4 O 1.52-1.57
P  0.5000  0.6908  0.3092  4 O 1.52-1.57
P  0.6908  0.3092  0.5000  4 O 1.52-1.57
P  0.8083  0.1917  0.0000  4 O 1.53-1.57
H  0.0438  0.7287  0.7304  1 O 1.00
H  0.0816  0.3897  0.7731  1 O 1.01
H  0.0917  0.2664  0.3850  1 O 1.03
H  0.1102  0.4086  0.2296  1 O 1.03
H  0.1129  0.7276  0.4189  1 O 1.01
H  0.2211  0.5467  0.2235  1 O 0.99
H  0.2235  0.2211  0.5467  1 O 0.99
H  0.2269  0.6103  0.9184  1 O 1.01
H  0.2296  0.1102  0.4086  1 O 1.03
H  0.2664  0.3850  0.0917  1 O 1.03
H  0.2696  0.2713  0.9562  1 O 1.00
H  0.2713  0.9562  0.2696  1 O 1.00
H  0.2724  0.8871  0.5811  1 O 1.01
H  0.3850  0.0917  0.2664  1 O 1.03
H  0.3897  0.7731  0.0816  1 O 1.01
H  0.4086  0.2296  0.1102  1 O 1.03
H  0.4189  0.1129  0.7276  1 O 1.01
H  0.4533  0.7789  0.7765  1 O 0.99
H  0.5467  0.2235  0.2211  1 O 0.99
H  0.5811  0.2724  0.8871  1 O 1.01
H  0.5914  0.8898  0.7704  1 O 1.03
H  0.6103  0.9184  0.2269  1 O 1.01
H  0.6150  0.7336  0.9083  1 O 1.03
H  0.7276  0.4189  0.1129  1 O 1.01
H  0.7287  0.7304  0.0438  1 O 1.00
H  0.7304  0.0438  0.7287  1 O 1.00
H  0.7336  0.9083  0.6150  1 O 1.03
H  0.7704  0.5914  0.8898  1 O 1.03
H  0.7731  0.0816  0.3897  1 O 1.01
H  0.7765  0.4533  0.7789  1 O 0.99
H  0.7789  0.7765  0.4533  1 O 0.99
H  0.8871  0.5811  0.2724  1 O 1.01
H  0.8898  0.7704  0.5914  1 O 1.03
H  0.9083  0.6150  0.7336  1 O 1.03
H  0.9184  0.2269  0.6103  1 O 1.01
H  0.9562  0.2696  0.2713  1 O 1.00
O  0.0388  0.3353  0.3382  2 H 1.00-1.03
O  0.0415  0.3476  0.8501  1 H 1.01
O  0.0508  0.8545  0.3529  1 P 1.53, 1 H 1.63
O  0.1231  0.1290  0.8622  1 B 1.50, 1 P 1.57
O  0.1290  0.8622  0.1231  1 B 1.50, 1 P 1.57
O  0.1378  0.8710  0.8769  1 B 1.50, 1 P 1.57
O  0.1455  0.9492  0.6471  1 P 1.53, 1 H 1.63
O  0.1484  0.4497  0.6444  1 P 1.52, 1 H 1.64
O  0.1499  0.6524  0.9585  1 H 1.01
O  0.1531  0.6495  0.4589  1 H 1.01
O  0.1564  0.4615  0.1598  2 H 0.99-1.03
O  0.1598  0.1564  0.4615  2 H 0.99-1.03
O  0.3353  0.3382  0.0388  2 H 1.00-1.03
O  0.3382  0.0388  0.3353  2 H 1.00-1.03
O  0.3476  0.8501  0.0415  1 H 1.01
O  0.3505  0.8469  0.5411  1 H 1.01
O  0.3529  0.0508  0.8545  1 P 1.53, 1 H 1.63
O  0.3556  0.5503  0.8516  1 P 1.52, 1 H 1.64
O  0.3637  0.6295  0.6234  1 B 1.50, 1 P 1.57
O  0.3705  0.6363  0.3766  1 B 1.50, 1 P 1.57
O  0.3766  0.3705  0.6363  1 B 1.50, 1 P 1.57
O  0.4497  0.6444  0.1484  1 P 1.52, 1 H 1.64
O  0.4589  0.1531  0.6495  1 H 1.01
O  0.4615  0.1598  0.1564  2 H 0.99-1.03
O  0.5385  0.8436  0.8402  2 H 0.99-1.03
O  0.5411  0.3505  0.8469  1 H 1.01
O  0.5503  0.8516  0.3556  1 P 1.52, 1 H 1.64
O  0.6234  0.3637  0.6295  1 B 1.50, 1 P 1.57
O  0.6295  0.6234  0.3637  1 B 1.50, 1 P 1.57
O  0.6363  0.3766  0.3705  1 B 1.50, 1 P 1.57
O  0.6444  0.1484  0.4497  1 P 1.52, 1 H 1.64
O  0.6471  0.1455  0.9492  1 P 1.53, 1 H 1.63
O  0.6495  0.4589  0.1531  1 H 1.01
O  0.6524  0.9585  0.1499  1 H 1.01
O  0.6618  0.6647  0.9612  2 H 1.00-1.03
O  0.6647  0.9612  0.6618  2 H 1.00-1.03
O  0.8402  0.5385  0.8436  2 H 0.99-1.03
O  0.8436  0.8402  0.5385  2 H 0.99-1.03
O  0.8469  0.5411  0.3505  1 H 1.01
O  0.8501  0.0415  0.3476  1 H 1.01
O  0.8516  0.3556  0.5503  1 P 1.52, 1 H 1.64
O  0.8545  0.3529  0.0508  1 P 1.53, 1 H 1.63
O  0.8622  0.1231  0.1290  1 B 1.50, 1 P 1.57
O  0.8710  0.8769  0.1378  1 B 1.50, 1 P 1.57
O  0.8769  0.1378  0.8710  1 B 1.50, 1 P 1.57
O  0.9492  0.6471  0.1455  1 P 1.53, 1 H 1.63
O  0.9585  0.1499  0.6524  1 H 1.01
O  0.9612  0.6618  0.6647  2 H 1.00-1.03

[2]
Mg3BH3O6 | SCAN | PBEsol geometry

Calculated density in g/cm³: 2.7
Calculated volume in Å³/cell: 222.09
N(E_F) in states/eV/atom: 0.000
Calculated total energy in eV per atom: -7.711

Cell: 9.0133 9.0133 3.1567 Å, 90.00 90.00 120.00°
Last column: nearest neighbours and their distance in Å.
Fractional positions:
Mg  0.0325  0.3754  0.2500  6 O 2.05-2.13
Mg  0.3429  0.9675  0.2500  6 O 2.05-2.13
Mg  0.3754  0.3429  0.7500  6 O 2.05-2.13
Mg  0.6246  0.6571  0.2500  6 O 2.05-2.13
Mg  0.6571  0.0325  0.7500  6 O 2.05-2.13
Mg  0.9675  0.6246  0.7500  6 O 2.05-2.13
B  0.3333  0.6667  0.7500  3 O 1.40
B  0.6667  0.3333  0.2500  3 O 1.40
H  0.0045  0.1726  0.7500  1 O 0.98
H  0.1681  0.9955  0.7500  1 O 0.98
H  0.1726  0.1681  0.2500  1 O 0.98
H  0.8274  0.8319  0.7500  1 O 0.98
H  0.8319  0.0045  0.2500  1 O 0.98
H  0.9955  0.8274  0.2500  1 O 0.98
O  0.0845  0.7954  0.2500  1 H 0.98
O  0.1566  0.5549  0.7500  1 B 1.40
O  0.2046  0.2892  0.2500  1 H 0.98
O  0.2892  0.0845  0.7500  1 H 0.98
O  0.3983  0.8434  0.7500  1 B 1.40
O  0.4451  0.6017  0.7500  1 B 1.40
O  0.5549  0.3983  0.2500  1 B 1.40
O  0.6017  0.1566  0.2500  1 B 1.40
O  0.7108  0.9155  0.2500  1 H 0.98
O  0.7954  0.7108  0.7500  1 H 0.98
O  0.8434  0.4451  0.2500  1 B 1.40
O  0.9155  0.2046  0.7500  1 H 0.98